# 1
This record from the Alexandria database describes AcLaSm after structural relaxation. The functional is PBE.

Calculated values
The calculation puts the distance to the lowest polymorph of the same formula at 133 meV per atom. The value obtained for the energy relative to the elements is 0.163 eV/atom. For the total moment, the calculation gives 0.0 μB/f.u.

Geometry as CIF:
```
data_AcLaSm
_chemical_formula_sum 'Ac2 La2 Sm2'
_cell_length_a 6.770
_cell_length_b 3.675
_cell_length_c 9.310
_cell_angle_alpha 90.00
_cell_angle_beta 90.00
_cell_angle_gamma 90.00
_symmetry_space_group_name_H-M 'P m m a'
_symmetry_Int_Tables_number 51
loop_
_symmetry_equiv_pos_as_xyz
'x,y,z'
'-x,-y,-z'
'-x+1/2,-y,z'
'x+1/2,y,-z'
'x+1/2,-y,-z'
'-x+1/2,y,z'
'-x,y,-z'
'x,-y,z'
loop_
_atom_site_label
_atom_site_fract_x
_atom_site_fract_y
_atom_site_fract_z
Ac1 0.250 0.000 0.192
La1 0.250 0.500 0.842
Sm1 0.000 0.500 0.500
```



# 2
This record from the Alexandria database describes MnInNi2N after structural relaxation. The functional is PBE.

Calculated values
The total energy comes out at -6.471 eV per atom. For the total moment, the calculation gives 2.4 μB/f.u.

Geometry as CIF:
```
data_MnInNi2N
_chemical_formula_sum 'Mn1 In1 Ni2 N1'
_cell_length_a 3.935
_cell_length_b 3.935
_cell_length_c 3.872
_cell_angle_alpha 90.00
_cell_angle_beta 90.00
_cell_angle_gamma 90.00
_symmetry_space_group_name_H-M 'P 4/m m m'
_symmetry_Int_Tables_number 123
_symmetry_space_group_name_Hall '-P 4 2'
loop_
_atom_site_label
_atom_site_fract_x
_atom_site_fract_y
_atom_site_fract_z
Mn1 0.000 0.000 0.000
In1 0.500 0.500 0.000
Ni1 0.000 0.500 0.500
N1 0.000 0.000 0.500
```



# 3
This record from the Alexandria database describes TbSi4Os4 after structural relaxation. The functional is PBE.

Calculated values
The total energy comes out at -8.291 eV per atom. For the total moment, the calculation gives 0.0 μB/f.u.

Geometry as CIF:
```
data_TbSi4Os4
_chemical_formula_sum 'Tb2 Si8 Os8'
_cell_length_a 5.961
_cell_length_b 5.961
_cell_length_c 8.025
_cell_angle_alpha 90.00
_cell_angle_beta 90.00
_cell_angle_gamma 90.00
_symmetry_space_group_name_H-M 'P 42/n m c'
_symmetry_Int_Tables_number 137
loop_
_symmetry_equiv_pos_as_xyz
'x,y,z'
'-x,-y,-z'
'-y+1/2,x,z+1/2'
'y+1/2,-x,-z+1/2'
'-x+1/2,-y+1/2,z'
'x+1/2,y+1/2,-z'
'y,-x+1/2,z+1/2'
'-y,x+1/2,-z+1/2'
'x+1/2,-y,-z'
'-x+1/2,y,z'
'-y,-x,-z+1/2'
'y,x,z+1/2'
'-x,y+1/2,-z'
'x,-y+1/2,z'
'y+1/2,x+1/2,-z+1/2'
'-y+1/2,-x+1/2,z+1/2'
loop_
_atom_site_label
_atom_site_fract_x
_atom_site_fract_y
_atom_site_fract_z
Tb1 0.250 0.750 0.250
Si1 0.053 0.250 0.072
Os1 0.003 0.250 0.373
```



# 4
This record from the Alexandria database describes Cs2BeSe2 after structural relaxation. The functional is PBE.

Calculated values
The calculation puts the distance to the lowest polymorph of the same formula at 77 meV per atom. For the total moment, the calculation gives 0.0 μB/f.u.

Geometry as CIF:
```
data_Cs2BeSe2
_chemical_formula_sum 'Cs4 Be2 Se4'
_cell_length_a 7.014
_cell_length_b 7.014
_cell_length_c 12.072
_cell_angle_alpha 90.00
_cell_angle_beta 90.00
_cell_angle_gamma 90.00
_symmetry_space_group_name_H-M 'I 4/m m m'
_symmetry_Int_Tables_number 139
_symmetry_space_group_name_Hall '-I 4 2'
loop_
_atom_site_label
_atom_site_fract_x
_atom_site_fract_y
_atom_site_fract_z
Cs1 0.000 0.500 0.250
Be1 0.000 0.000 0.000
Se1 0.000 0.000 0.166
```



# 5
This record from the Alexandria database describes Pr4CuGe3 after structural relaxation. The functional is PBE.

Calculated values
The value obtained for the energy relative to the elements is -0.656 eV/atom. For the total moment, the calculation gives 0.0 μB/f.u.

Geometry as CIF:
```
data_Pr4CuGe3
_chemical_formula_sum 'Pr4 Cu1 Ge3'
_cell_length_a 4.178
_cell_length_b 4.394
_cell_length_c 11.267
_cell_angle_alpha 90.00
_cell_angle_beta 90.00
_cell_angle_gamma 90.00
_symmetry_space_group_name_H-M 'P m m 2'
_symmetry_Int_Tables_number 25
loop_
_symmetry_equiv_pos_as_xyz
'x,y,z'
'-x,-y,z'
'-x,y,z'
'x,-y,z'
loop_
_atom_site_label
_atom_site_fract_x
_atom_site_fract_y
_atom_site_fract_z
Pr1 0.000 0.000 0.000
Pr2 0.000 0.500 0.497
Pr3 0.500 0.000 0.720
Pr4 0.500 0.500 0.221
Cu1 0.000 0.000 0.297
Ge1 0.000 0.500 0.779
Ge2 0.500 0.000 0.434
Ge3 0.500 0.500 0.939
```



# 6
This record from the Alexandria database describes LiYOs2Br after structural relaxation. The functional is PBE.

Calculated values
The total energy comes out at -5.530 eV per atom. For the total moment, the calculation gives 2.8 μB/f.u.

Geometry as CIF:
```
data_LiYOs2Br
_chemical_formula_sum 'Li1 Y1 Os2 Br1'
_cell_length_a 4.384
_cell_length_b 4.384
_cell_length_c 4.831
_cell_angle_alpha 90.00
_cell_angle_beta 90.00
_cell_angle_gamma 90.00
_symmetry_space_group_name_H-M 'P 4/m m m'
_symmetry_Int_Tables_number 123
_symmetry_space_group_name_Hall '-P 4 2'
loop_
_atom_site_label
_atom_site_fract_x
_atom_site_fract_y
_atom_site_fract_z
Li1 0.000 0.000 0.000
Y1 0.500 0.500 0.500
Os1 0.000 0.500 0.000
Br1 0.000 0.000 0.500
```



# 7
This record from the Alexandria database describes VCrBr after structural relaxation. The functional is PBE.

Calculated values
The calculation puts the distance to the lowest polymorph of the same formula at 13 meV per atom. For the total moment, the calculation gives 0.0 μB/f.u.

Geometry as CIF:
```
data_VCrBr
_chemical_formula_sum 'V2 Cr2 Br2'
_cell_length_a 3.202
_cell_length_b 3.815
_cell_length_c 9.524
_cell_angle_alpha 90.00
_cell_angle_beta 99.51
_cell_angle_gamma 90.00
_symmetry_space_group_name_H-M 'P 1 m 1'
_symmetry_Int_Tables_number 6
loop_
_symmetry_equiv_pos_as_xyz
'x,y,z'
'x,-y,z'
loop_
_atom_site_label
_atom_site_fract_x
_atom_site_fract_y
_atom_site_fract_z
V1 0.000 0.000 0.000
V2 0.392 0.000 0.778
Cr1 0.507 0.500 0.015
Cr2 0.905 0.500 0.805
Br1 0.296 0.500 0.584
Br2 0.604 0.000 0.211
```



# 8
This record from the Alexandria database describes Tb2Er6Co after structural relaxation. The functional is PBE.

Calculated values
The value obtained for the energy relative to the elements is 0.167 eV/atom. For the total moment, the calculation gives 0.0 μB/f.u.

Geometry as CIF:
```
data_Tb2Er6Co
_chemical_formula_sum 'Tb4 Er12 Co2'
_cell_length_a 9.099
_cell_length_b 16.906
_cell_length_c 3.570
_cell_angle_alpha 90.00
_cell_angle_beta 90.00
_cell_angle_gamma 90.00
_symmetry_space_group_name_H-M 'C m m m'
_symmetry_Int_Tables_number 65
_symmetry_space_group_name_Hall '-C 2 2'
loop_
_atom_site_label
_atom_site_fract_x
_atom_site_fract_y
_atom_site_fract_z
Tb1 0.000 0.169 0.000
Er1 0.168 0.334 0.500
Er2 0.206 0.500 0.000
Co1 0.000 0.500 0.500
```



# 9
This record from the Alexandria database describes Pm6Y3Th2 after structural relaxation. The functional is PBE.

Calculated values
The value obtained for the energy relative to the elements is 0.024 eV/atom. For the total moment, the calculation gives 0.0 μB/f.u.

Geometry as CIF:
```
data_Pm6Y3Th2
_chemical_formula_sum 'Pm18 Y9 Th6'
_cell_length_a 3.6165
_cell_length_b 3.6165
_cell_length_c 97.3523
_cell_angle_alpha 90.00
_cell_angle_beta 90.00
_cell_angle_gamma 120.00
_symmetry_space_group_name_H-M 'R -3 m'
_symmetry_Int_Tables_number 166
_symmetry_space_group_name_Hall '-R 3 2"'
loop_
_atom_site_label
_atom_site_fract_x
_atom_site_fract_y
_atom_site_fract_z
Pm1 0.0000 0.0000 0.0914
Pm2 0.0000 0.0000 0.1829
Pm3 0.0000 0.0000 0.3636
Y1 0.0000 0.0000 0.0000
Y2 0.0000 0.0000 0.2730
Th1 0.0000 0.0000 0.4544
```



# 10
This record from the Alexandria database describes CaPr4In4 after structural relaxation. The functional is PBE.

Calculated values
The value obtained for the energy relative to the elements is -0.291 eV/atom. For the total moment, the calculation gives 0.0 μB/f.u.

Geometry as CIF:
```
data_CaPr4In4
_chemical_formula_sum 'Ca2 Pr8 In8'
_cell_length_a 9.371
_cell_length_b 9.371
_cell_length_c 6.304
_cell_angle_alpha 90.00
_cell_angle_beta 90.00
_cell_angle_gamma 90.00
_symmetry_space_group_name_H-M 'P 42/n'
_symmetry_Int_Tables_number 86
loop_
_symmetry_equiv_pos_as_xyz
'x,y,z'
'-x,-y,-z'
'-y,x+1/2,z+1/2'
'y,-x+1/2,-z+1/2'
'-x+1/2,-y+1/2,z'
'x+1/2,y+1/2,-z'
'y+1/2,-x,z+1/2'
'-y+1/2,x,-z+1/2'
loop_
_atom_site_label
_atom_site_fract_x
_atom_site_fract_y
_atom_site_fract_z
Ca1 0.250 0.250 0.250
Pr1 0.084 0.826 0.616
In1 0.050 0.148 0.869
```